# 1
Entry from Alexandria via LeMat-Bulk: a geometry-optimized AgMo3Rh structure (GGA-PBE).

The crystal system is cubic. As for the symmetry: Pm-3m (221). The calculation puts the volume at 104 Å³ per cell. The total magnetization comes out at 0.0 μB/cell. Its calculated formation energy is 1687 meV/atom. The density of states at the Fermi level is 1.45 states/eV per atom.

a b c (Å): 4.7043 4.7043 4.7043
angles (deg): 90.00 90.00 90.00
Last column: nearest neighbours and their distance in Å.
Element x y z (fractional)
Ag 0.0000 0.0000 0.0000  12 Mo 3.33
Mo 0.0000 0.5000 0.5000  2 Rh 2.35
Mo 0.5000 0.0000 0.5000  2 Rh 2.35
Mo 0.5000 0.5000 0.0000  2 Rh 2.35
Rh 0.5000 0.5000 0.5000  6 Mo 2.35

---

# 2
Entry from Alexandria via LeMat-Bulk: a geometry-optimized CaPr4Si4 structure (GGA-PBE).

The crystal system is tetragonal. As for the symmetry: P4_2/n (86). The calculation puts the volume at 508 Å³ per cell. The total magnetization comes out at 0.0 μB/cell. The density of states at the Fermi level is 0.72 states/eV per atom. For the energy relative to the elements, uncorrected, the calculation gives -0.44 eV/atom.

a b c (Å): 9.0942 9.0942 6.1450
angles (deg): 90.00 90.00 90.00
Last column: nearest neighbours and their distance in Å.
Element x y z (fractional)
Ca 0.2500 0.2500 0.2500  4 Si 2.85
Ca 0.7500 0.7500 0.7500  4 Si 2.85
Pr 0.0663 0.6604 0.1115  5 Si 3.00-3.21
Pr 0.1604 0.9337 0.6115  5 Si 3.00-3.21
Pr 0.3396 0.5663 0.6115  5 Si 3.00-3.21
Pr 0.4337 0.8396 0.1115  5 Si 3.00-3.21
Pr 0.5663 0.1604 0.8885  5 Si 3.00-3.21
Pr 0.6604 0.4337 0.3885  5 Si 3.00-3.21
Pr 0.8396 0.0663 0.3885  5 Si 3.00-3.21
Pr 0.9337 0.3396 0.8885  5 Si 3.00-3.21
Si 0.0135 0.6139 0.5993  1 Si 2.42
Si 0.1139 0.9865 0.0993  1 Si 2.42
Si 0.3861 0.5135 0.0993  1 Si 2.42
Si 0.4865 0.8861 0.5993  1 Si 2.42
Si 0.5135 0.1139 0.4007  1 Si 2.42
Si 0.6139 0.4865 0.9007  1 Si 2.42
Si 0.8861 0.0135 0.9007  1 Si 2.42
Si 0.9865 0.3861 0.4007  1 Si 2.42

---

# 3
Entry from Alexandria via LeMat-Bulk: a geometry-optimized TaMo2Se structure (GGA-PBE).

The crystal system is orthorhombic. As for the symmetry: Pmm2 (25). The calculation puts the volume at 67 Å³ per cell. The total magnetization comes out at 0.0 μB/cell. The density of states at the Fermi level is 0.56 states/eV per atom. For the energy relative to the elements, uncorrected, the calculation gives 0.16 eV/atom.

a b c (Å): 3.0976 4.1693 5.1524
angles (deg): 90.00 90.00 90.00
Last column: nearest neighbours and their distance in Å.
Element x y z (fractional)
Ta 0.0000 0.0000 0.0000  2 Mo 2.52-2.63
Mo 0.0000 0.0000 0.4891  2 Ta 2.52-2.63
Mo 0.5000 0.5000 0.2507  2 Se 2.55-2.61
Se 0.5000 0.5000 0.7451  2 Mo 2.55-2.61

---

# 4
Entry from Alexandria via LeMat-Bulk: a geometry-optimized NaGeF3 structure (GGA-PBE).

The crystal system is cubic. As for the symmetry: Pm-3m (221). The calculation puts the volume at 68 Å³ per cell. The total magnetization comes out at 0.0 μB/cell. The density of states at the Fermi level is 0.00 states/eV per atom. For the energy relative to the elements, uncorrected, the calculation gives -1.76 eV/atom.

a b c (Å): 4.0812 4.0812 4.0812
angles (deg): 90.00 90.00 90.00
Last column: nearest neighbours and their distance in Å.
Element x y z (fractional)
Na 0.0000 0.0000 0.0000  6 F 2.04
Ge 0.5000 0.5000 0.5000  12 F 2.89
F 0.0000 0.0000 0.5000  2 Na 2.04
F 0.0000 0.5000 0.0000  2 Na 2.04
F 0.5000 0.0000 0.0000  2 Na 2.04

---

# 5
Entry from Alexandria via LeMat-Bulk: a geometry-optimized CeTmMgTc structure (GGA-PBE).

The crystal system is cubic. As for the symmetry: F-43m (216). The calculation puts the volume at 90 Å³ per cell. The total magnetization comes out at 0.0 μB/cell. Its calculated formation energy is 10 meV/atom. The density of states at the Fermi level is 1.53 states/eV per atom.

a b c (Å): 5.0273 5.0273 5.0273
angles (deg): 60.00 60.00 60.00
Last column: nearest neighbours and their distance in Å.
Element x y z (fractional)
Ce 0.0000 0.0000 0.0000  4 Mg 3.08, 4 Tc 3.08
Tm 0.5000 0.5000 0.5000  4 Mg 3.08, 4 Tc 3.08
Mg 0.7500 0.7500 0.7500  4 Ce 3.08, 4 Tm 3.08
Tc 0.2500 0.2500 0.2500  4 Ce 3.08, 4 Tm 3.08

---

# 6
Entry from Alexandria via LeMat-Bulk: a geometry-optimized Y3GaPt12 structure (GGA-PBE).

The crystal system is tetragonal. As for the symmetry: P4/mmm (123). The calculation puts the volume at 273 Å³ per cell. The total magnetization comes out at 0.0 μB/cell. Its calculated formation energy is -854 meV/atom. The density of states at the Fermi level is 0.91 states/eV per atom.

a b c (Å): 4.1046 4.1046 16.1861
angles (deg): 90.00 90.00 90.00
Last column: nearest neighbours and their distance in Å.
Element x y z (fractional)
Y 0.0000 0.0000 0.0000  12 Pt 2.90-2.92
Y 0.0000 0.0000 0.2554  12 Pt 2.90-2.95
Y 0.0000 0.0000 0.7446  12 Pt 2.90-2.95
Ga 0.0000 0.0000 0.5000  12 Pt 2.76-2.90
Pt 0.0000 0.5000 0.1281  8 Pt 2.90-2.93, 4 Y 2.91-2.92
Pt 0.0000 0.5000 0.3859  8 Pt 2.76-2.92, 2 Ga 2.76, 2 Y 2.95
Pt 0.0000 0.5000 0.6141  8 Pt 2.76-2.92, 2 Ga 2.76, 2 Y 2.95
Pt 0.0000 0.5000 0.8719  8 Pt 2.90-2.93, 4 Y 2.91-2.92
Pt 0.5000 0.0000 0.1281  8 Pt 2.90-2.93, 4 Y 2.91-2.92
Pt 0.5000 0.0000 0.3859  8 Pt 2.76-2.92, 2 Ga 2.76, 2 Y 2.95
Pt 0.5000 0.0000 0.6141  8 Pt 2.76-2.92, 2 Ga 2.76, 2 Y 2.95
Pt 0.5000 0.0000 0.8719  8 Pt 2.90-2.93, 4 Y 2.91-2.92
Pt 0.5000 0.5000 0.0000  4 Y 2.90, 8 Pt 2.92
Pt 0.5000 0.5000 0.2575  4 Y 2.90, 8 Pt 2.92-2.93
Pt 0.5000 0.5000 0.5000  8 Pt 2.76, 4 Ga 2.90
Pt 0.5000 0.5000 0.7425  4 Y 2.90, 8 Pt 2.92-2.93

---

# 7
Entry from Alexandria via LeMat-Bulk: a geometry-optimized HfZnGe3 structure (GGA-PBE).

The crystal system is cubic. As for the symmetry: Pm-3m (221). The calculation puts the volume at 139 Å³ per cell. The total magnetization comes out at 0.0 μB/cell. Its calculated formation energy is 547 meV/atom. The density of states at the Fermi level is 0.40 states/eV per atom.

a b c (Å): 5.1835 5.1835 5.1835
angles (deg): 90.00 90.00 90.00
Last column: nearest neighbours and their distance in Å.
Element x y z (fractional)
Hf 0.0000 0.0000 0.0000  6 Ge 2.59
Zn 0.5000 0.5000 0.5000  12 Ge 3.67
Ge 0.0000 0.0000 0.5000  2 Hf 2.59
Ge 0.0000 0.5000 0.0000  2 Hf 2.59
Ge 0.5000 0.0000 0.0000  2 Hf 2.59

---

# 8
Entry from Alexandria via LeMat-Bulk: a geometry-optimized CrCoSe2Br structure (GGA-PBE).

The crystal system is tetragonal. As for the symmetry: P4/mmm (123). The calculation puts the volume at 110 Å³ per cell. The total magnetization comes out at 2.7 μB/cell. The density of states at the Fermi level is 0.87 states/eV per atom. For the energy relative to the elements, uncorrected, the calculation gives 0.39 eV/atom.

a b c (Å): 4.6447 4.6447 5.0903
angles (deg): 90.00 90.00 90.00
Last column: nearest neighbours and their distance in Å.
Element x y z (fractional)
Cr 0.0000 0.0000 0.0000  4 Br 3.28, 8 Se 3.45
Co 0.5000 0.5000 0.5000  4 Se 2.32, 2 Br 2.55
Se 0.0000 0.5000 0.5000  2 Co 2.32
Se 0.5000 0.0000 0.5000  2 Co 2.32
Br 0.5000 0.5000 0.0000  2 Co 2.55

---

# 9
Entry from Alexandria via LeMat-Bulk: a geometry-optimized Sm3Dy4Zn4 structure (GGA-PBE).

The crystal system is orthorhombic. As for the symmetry: Immm (71). The calculation puts the volume at 293 Å³ per cell. The total magnetization comes out at 0.0 μB/cell. Its calculated formation energy is -132 meV/atom. The density of states at the Fermi level is 0.93 states/eV per atom.

a b c (Å): 9.1685 9.1685 9.1685
angles (deg): 147.73 134.27 57.08
Last column: nearest neighbours and their distance in Å.
Element x y z (fractional)
Sm 0.0000 0.0000 0.0000  2 Zn 3.02
Sm 0.3965 0.8965 0.5000  4 Zn 3.31, 1 Sm 3.33, 4 Dy 3.41
Sm 0.6035 0.1035 0.5000  4 Zn 3.31, 1 Sm 3.33, 4 Dy 3.41
Dy 0.0512 0.3223 0.7288  4 Zn 2.91-3.03
Dy 0.4065 0.6777 0.7288  4 Zn 2.91-3.03
Dy 0.5935 0.3223 0.2712  4 Zn 2.91-3.03
Dy 0.9488 0.6777 0.2712  4 Zn 2.91-3.03
Zn 0.1873 0.1873 0.0000  6 Dy 2.91-3.03, 1 Sm 3.02
Zn 0.3194 0.5000 0.8194  1 Zn 2.57
Zn 0.6806 0.5000 0.1806  1 Zn 2.57
Zn 0.8127 0.8127 0.0000  6 Dy 2.91-3.03, 1 Sm 3.02

---

# 10
Entry from Alexandria via LeMat-Bulk: a geometry-optimized TmSc2Pb2 structure (GGA-PBE).

The crystal system is orthorhombic. As for the symmetry: Cmc2_1 (36). The calculation puts the volume at 262 Å³ per cell. The total magnetization comes out at 0.0 μB/cell. Its calculated formation energy is -360 meV/atom. The density of states at the Fermi level is 0.72 states/eV per atom.

a b c (Å): 8.9607 8.9607 6.3815
angles (deg): 90.00 90.00 149.21
Last column: nearest neighbours and their distance in Å.
Element x y z (fractional)
Tm 0.1201 0.8799 0.5000  4 Pb 3.03-3.26
Tm 0.8799 0.1201 0.0000  4 Pb 3.03-3.26
Sc 0.3221 0.6779 0.3817  5 Pb 3.03-3.11
Sc 0.4832 0.5168 0.7343  4 Pb 3.01-3.21, 2 Sc 3.24
Sc 0.5168 0.4832 0.2343  4 Pb 3.01-3.21, 2 Sc 3.24
Sc 0.6779 0.3221 0.8817  5 Pb 3.03-3.11
Pb 0.0682 0.9318 0.9802  6 Sc 3.01-3.21, 2 Tm 3.19-3.26
Pb 0.2858 0.7142 0.8514  3 Sc 3.03-3.06, 2 Tm 3.03
Pb 0.7142 0.2858 0.3514  3 Sc 3.03-3.06, 2 Tm 3.03
Pb 0.9318 0.0682 0.4802  6 Sc 3.01-3.21, 2 Tm 3.19-3.26

---

# 11
Entry from Alexandria via LeMat-Bulk: a geometry-optimized MnCo3 structure (GGA-PBE).

The crystal system is cubic. As for the symmetry: Fm-3m (225). The calculation puts the volume at 46 Å³ per cell. The total magnetization comes out at 8.4 μB/cell. Its calculated formation energy is 71 meV/atom. The density of states at the Fermi level is 1.06 states/eV per atom.

a b c (Å): 4.0322 4.0322 4.0322
angles (deg): 60.00 60.00 60.00
Last column: nearest neighbours and their distance in Å.
Element x y z (fractional)
Mn 0.0000 0.0000 0.0000  8 Co 2.47
Co 0.2500 0.2500 0.2500  4 Co 2.47, 4 Mn 2.47
Co 0.5000 0.5000 0.5000  8 Co 2.47
Co 0.7500 0.7500 0.7500  4 Mn 2.47, 4 Co 2.47

---

# 12
Entry from Alexandria via LeMat-Bulk: a geometry-optimized UCuO4F structure (GGA-PBE).

The crystal system is orthorhombic. As for the symmetry: Imma (74). The calculation puts the volume at 205 Å³ per cell. The total magnetization comes out at 0.0 μB/cell. For the energy relative to the elements, uncorrected, the calculation gives -1.83 eV/atom.

a b c (Å): 7.0230 7.0230 7.0230
angles (deg): 133.29 123.28 76.45
Last column: nearest neighbours and their distance in Å.
Element x y z (fractional)
U 0.0000 0.0000 0.0000  4 O 2.13, 2 F 2.34
U 0.5000 0.0000 0.5000  4 O 2.13, 2 F 2.34
Cu 0.5000 0.0000 0.0000  4 O 1.86
Cu 0.5000 0.5000 0.5000  4 O 1.86
O 0.2783 0.2593 0.4810  2 U 2.13, 1 F 2.34
O 0.2783 0.7972 0.0190  2 U 2.13, 1 F 2.34
O 0.2883 0.2143 0.0740  2 Cu 1.86
O 0.3597 0.7857 0.5740  2 Cu 1.86
O 0.6403 0.2143 0.4260  2 Cu 1.86
O 0.7117 0.7857 0.9260  2 Cu 1.86
O 0.7217 0.2028 0.9810  2 U 2.13, 1 F 2.34
O 0.7217 0.7407 0.5190  2 U 2.13, 1 F 2.34
F 0.1016 0.8516 0.2500  4 O 2.28-2.34, 2 U 2.34
F 0.8984 0.1484 0.7500  4 O 2.28-2.34, 2 U 2.34